Rb2In4HgPb3 | PBE-GGA | optimized geometry

```
Rb2In4HgPb3
1.0
-2.819 -0.125 -4.458
-2.500 -4.324 1.702
-8.776 7.178 5.349
Rb In Hg Pb
2 4 1 3
Direct
0.500 0.000 0.251 Rb
0.000 0.500 0.749 Rb
0.500 0.500 0.000 In
0.000 0.000 0.000 In
0.500 0.000 0.624 In
0.000 0.500 0.376 In
0.500 0.500 0.500 Hg
0.000 0.000 0.500 Pb
0.500 0.000 0.866 Pb
0.000 0.500 0.134 Pb
```

* E: -2.54 eV/atom
* calculated volume: 34.9 Å³ per atom
* M_tot: 0.0 μB per formula unit
* DOS(E_F): 0.39 states/eV per atom
* formation enthalpy at 0 K: -108.9 meV per atom